Record 1
Crystalline NbCr2TeMo at its relaxed geometry, computed with PBE.

Results
The density of states at the Fermi level comes out at 5.02 states/eV per cell. As for the space group: No. 123. For the raw formation energy, the calculation gives 34.5 kcal/mol of atoms.

a b c (Å): 4.785 4.864 4.785
angles (deg): 90.00 90.00 90.00
Fractional coordinates of all 5 atoms:
Mo 0.000 0.500 0.000
Te 0.500 0.500 0.500
Nb 0.000 0.000 0.000
Cr 0.000 0.000 0.500
Cr 0.500 0.000 0.000

Record 2
Crystalline Ti2Tl2In at its relaxed geometry, computed with PBE.

Results
The formation energy comes out at 0.398 eV per atom. The density of states at the Fermi level comes out at 7.22 states/eV per cell. As for the space group: No. 139.

a b c (Å): 3.593 3.593 9.871
angles (deg): 79.51 79.51 90.00
Fractional coordinates of all 5 atoms:
Tl 0.385 0.385 0.230
In 0.000 0.000 0.000
Ti 0.750 0.250 0.500
Tl 0.615 0.615 0.770
Ti 0.250 0.750 0.500

Record 3
Crystalline CoRe2Cl at its relaxed geometry, computed with PBE.

Results
The density of states at the Fermi level comes out at 4.29 states/eV per cell. As for the space group: No. 166. For the raw formation energy, the calculation gives 14.2 kcal/mol of atoms.

a b c (Å): 8.457 8.457 8.457
angles (deg): 19.04 19.04 19.04
Fractional coordinates of all 4 atoms:
Cl 0.250 0.250 0.250
Re 0.003 0.003 0.003
Re 0.497 0.497 0.497
Co 0.750 0.750 0.750

Record 4
Crystalline ThCo2Au at its relaxed geometry, computed with PBE.

Results
The formation energy comes out at -0.174 eV per atom. The density of states at the Fermi level comes out at 3.21 states/eV per cell. As for the space group: No. 123.

a b c (Å): 3.710 4.267 4.267
angles (deg): 90.00 90.00 90.00
Fractional coordinates of all 4 atoms:
Co 0.000 0.500 0.000
Au 0.500 0.500 0.500
Co 0.000 0.000 0.500
Th 0.500 0.000 0.000

Record 5
Crystalline Be2Si2Ag at its relaxed geometry, computed with PBE.

Results
The density of states at the Fermi level comes out at 1.31 states/eV per cell. As for the space group: No. 139. For the raw formation energy, the calculation gives 7.4 kcal/mol of atoms.

a b c (Å): 3.736 3.736 5.708
angles (deg): 70.89 70.89 90.00
Fractional coordinates of all 5 atoms:
Si 0.384 0.384 0.233
Ag 0.000 0.000 0.000
Be 0.750 0.250 0.500
Si 0.616 0.616 0.767
Be 0.250 0.750 0.500

Record 6
Crystalline Na3PmPr2S6 at its relaxed geometry, computed with PBE.

Results
The density of states at the Fermi level comes out at 0.00 states/eV per cell. As for the space group: No. 12. For the raw formation energy, the calculation gives -41.3 kcal/mol of atoms.

a b c (Å): 7.179 7.179 7.108
angles (deg): 99.70 99.70 119.99
Fractional coordinates of all 12 atoms:
S 0.922 0.592 0.766
S 0.252 0.252 0.767
Na 0.167 0.833 0.500
Pm 0.000 0.000 0.000
Na 0.833 0.167 0.500
S 0.408 0.078 0.234
Pr 0.667 0.333 0.000
S 0.592 0.922 0.766
S 0.078 0.408 0.234
Pr 0.333 0.667 0.000
S 0.748 0.748 0.233
Na 0.500 0.500 0.500